Entry 1:
Entry from the Open Quantum Materials Database: a relaxed TbAl3 crystal (PBE).

## Properties
The symmetry is P6_3/mmc. The calculation puts the total DFT energy (no corrections) at -4.405 eV/atom. The calculation puts the spin magnetization at 0.0 μB per cell.

Cell and atoms, written as POSCAR:
```
TbAl3
1.0
6.2905 0.0000 0.0000
-3.1453 5.4477 0.0000
0.0000 0.0000 4.6303
Tb Al
2 6
direct
0.3333 0.6667 0.2500
0.6667 0.3333 0.7500
0.1466 0.2932 0.7500
0.1466 0.8534 0.7500
0.2932 0.1466 0.2500
0.7068 0.8534 0.7500
0.8534 0.1466 0.2500
0.8534 0.7068 0.2500
```


Entry 2:
Entry from the Open Quantum Materials Database: a relaxed Zr4CdB2Pb crystal (PBE).

## Properties
The symmetry is P-6m2. The calculation puts the total DFT energy (no corrections) at -6.918 eV/atom. The calculation puts the spin magnetization at 0.0 μB per cell.

Cell and atoms, written as POSCAR:
```
Zr4CdB2Pb
1.0
3.4598 0.0000 0.0000
-1.7299 2.9962 0.0000
0.0000 0.0000 15.3875
Zr Cd B Pb
4 1 2 1
direct
0.0000 0.0000 0.1653
0.0000 0.0000 0.8347
0.6667 0.3333 0.3339
0.6667 0.3333 0.6661
0.0000 0.0000 0.5000
0.3333 0.6667 0.2488
0.3333 0.6667 0.7512
0.6667 0.3333 0.0000
```


Entry 3:
Entry from the Open Quantum Materials Database: a relaxed Lu4TlPbN2 crystal (PBE).

## Properties
The symmetry is P-6m2. The calculation puts the total DFT energy (no corrections) at -6.182 eV/atom. The calculation puts the spin magnetization at 0.0 μB per cell.

Cell and atoms, written as POSCAR:
```
Lu4TlPbN2
1.0
3.4545 0.0000 0.0000
-1.7272 2.9916 0.0000
0.0000 0.0000 15.2389
Lu Tl Pb N
4 1 1 2
direct
0.0000 0.0000 0.1661
0.0000 0.0000 0.8339
0.6667 0.3333 0.3327
0.6667 0.3333 0.6673
0.6667 0.3333 0.0000
0.0000 0.0000 0.5000
0.3333 0.6667 0.2509
0.3333 0.6667 0.7491
```